{"formula": "LaPaGe2Pt2", "functional": "PBE-GGA", "state": "optimized geometry", "formation_energy_mev_per_atom": -1017, "vol_a3_per_atom": 21.64, "space_group": "No. 164", "lattice": [[4.3945, 0.0000, 0.0000], [-2.1972, 3.8057, 0.0000], [0.0000, 0.0000, 7.7620]], "species": ["Pa", "Pt", "Pt", "Ge", "Ge", "La"], "fractional_positions": [[0.0000, 0.0000, 0.5000], [0.6667, 0.3333, 0.7278], [0.3333, 0.6667, 0.2722], [0.3333, 0.6667, 0.7253], [0.6667, 0.3333, 0.2747], [0.0000, 0.0000, 0.0000]]}